Entry 1:
AlOs3N | PBE-GGA | relaxed

a = 4.042 Å, b = 4.042 Å, c = 4.042 Å
α = 90.00°, β = 90.00°, γ = 90.00°
Sites, in units of the cell vectors:
Al  0.000  0.000  0.000
Os  0.000  0.500  0.500
Os  0.500  0.000  0.500
Os  0.500  0.500  0.000
N  0.500  0.500  0.500

* total energy: -43.6 eV/cell
* energy above the most stable polymorph in this dataset: 0 meV per atom
* SG: Pm-3m (221)
* DOS at the Fermi energy: 2.23 states/eV/cell
* crystal system: cubic


Entry 2:
AcGaRu | PBE-GGA | relaxed

a = 4.571 Å, b = 4.571 Å, c = 7.092 Å
α = 90.00°, β = 90.00°, γ = 90.00°
Sites, in units of the cell vectors:
Ac  0.250  0.250  0.205
Ac  0.750  0.750  0.795
Ga  0.250  0.250  0.672
Ga  0.750  0.750  0.328
Ru  0.250  0.750  0.500
Ru  0.750  0.250  0.500

* total energy: -35.7 eV/cell
* energy above the most stable polymorph in this dataset: 0 meV per atom
* SG: P4/nmm (129)
* DOS at the Fermi energy: 2.95 states/eV/cell
* crystal system: tetragonal


Entry 3:
Li5Ho2Tl4 | PBE-GGA | relaxed

a = 10.229 Å, b = 9.616 Å, c = 5.586 Å
α = 79.80°, β = 67.69°, γ = 32.51°
Sites, in units of the cell vectors:
Li  0.000  0.000  0.000
Li  0.000  0.000  0.500
Li  0.250  0.250  0.250
Li  0.500  0.500  0.000
Li  0.750  0.750  0.750
Ho  0.381  0.381  0.619
Ho  0.619  0.619  0.381
Tl  0.032  0.708  0.292
Tl  0.292  0.968  0.032
Tl  0.708  0.032  0.968
Tl  0.968  0.292  0.708

* total energy: -29.3 eV/cell
* SG: Fmmm (69)
* DOS at the Fermi energy: 5.89 states/eV/cell
* crystal system: orthorhombic


Entry 4:
Cr4MoOs | PBE-GGA | relaxed

a = 4.764 Å, b = 4.764 Å, c = 4.764 Å
α = 60.00°, β = 60.00°, γ = 60.00°
Sites, in units of the cell vectors:
Cr  0.124  0.124  0.124
Cr  0.124  0.124  0.628
Cr  0.124  0.628  0.124
Cr  0.628  0.124  0.124
Mo  0.750  0.750  0.750
Os  0.500  0.500  0.500

* total energy: -60.3 eV/cell
* SG: F-43m (216)
* DOS at the Fermi energy: 7.22 states/eV/cell
* crystal system: cubic


Entry 5:
P3HCl | PBE-GGA | relaxed

a = 4.105 Å, b = 4.105 Å, c = 4.105 Å
α = 90.00°, β = 90.00°, γ = 90.00°
Sites, in units of the cell vectors:
P  0.000  0.000  0.500
P  0.000  0.500  0.000
P  0.500  0.000  0.000
H  0.000  0.000  0.000
Cl  0.500  0.500  0.500

* total energy: -15.9 eV/cell
* energy above the most stable polymorph in this dataset: 0 meV per atom
* SG: Pm-3m (221)
* DOS at the Fermi energy: 2.80 states/eV/cell
* crystal system: cubic


Entry 6:
KAsRh2 | PBE-GGA | relaxed

a = 2.898 Å, b = 3.865 Å, c = 7.196 Å
α = 90.00°, β = 90.00°, γ = 90.00°
Sites, in units of the cell vectors:
K  0.000  0.000  0.000
As  0.500  0.500  0.657
Rh  0.000  0.000  0.517
Rh  0.500  0.500  0.325

* total energy: -20.2 eV/cell
* SG: Pmm2 (25)
* DOS at the Fermi energy: 3.97 states/eV/cell
* crystal system: orthorhombic


Entry 7:
CeNdPt2 | PBE-GGA | relaxed

a = 5.080 Å, b = 5.080 Å, c = 5.080 Å
α = 60.00°, β = 60.00°, γ = 60.00°
Sites, in units of the cell vectors:
Ce  0.000  0.000  0.000
Nd  0.500  0.500  0.500
Pt  0.250  0.250  0.250
Pt  0.750  0.750  0.750

* total energy: -26.8 eV/cell
* energy above the most stable polymorph in this dataset: 126 meV per atom
* SG: Fm-3m (225)
* DOS at the Fermi energy: 8.30 states/eV/cell
* crystal system: cubic


Entry 8:
KPm2Cd | PBE-GGA | relaxed

a = 13.020 Å, b = 13.020 Å, c = 13.020 Å
α = 16.16°, β = 16.16°, γ = 16.16°
Sites, in units of the cell vectors:
K  0.000  0.000  0.000
Pm  0.102  0.102  0.102
Pm  0.898  0.898  0.898
Cd  0.500  0.500  0.500

* total energy: -10.9 eV/cell
* SG: R-3m (166)
* DOS at the Fermi energy: 5.22 states/eV/cell
* crystal system: trigonal


Entry 9:
YTl2GaBr6 | PBE-GGA | relaxed

a = 8.225 Å, b = 8.225 Å, c = 8.225 Å
α = 58.45°, β = 58.45°, γ = 58.45°
Sites, in units of the cell vectors:
Y  0.000  0.000  0.000
Tl  0.297  0.297  0.297
Tl  0.789  0.789  0.789
Ga  0.507  0.507  0.507
Br  0.140  0.329  0.754
Br  0.216  0.865  0.663
Br  0.329  0.754  0.140
Br  0.663  0.216  0.865
Br  0.754  0.140  0.329
Br  0.865  0.663  0.216

* total energy: -36.4 eV/cell
* SG: R3 (146)
* DOS at the Fermi energy: 0.00 states/eV/cell
* crystal system: trigonal


Entry 10:
In2AuSe | PBE-GGA | relaxed

a = 5.020 Å, b = 5.020 Å, c = 3.714 Å
α = 90.00°, β = 90.00°, γ = 90.00°
Sites, in units of the cell vectors:
In  0.000  0.500  0.000
In  0.500  0.000  0.000
Au  0.000  0.000  0.500
Se  0.500  0.500  0.500

* total energy: -12.6 eV/cell
* SG: P4/mmm (123)
* DOS at the Fermi energy: 1.71 states/eV/cell
* crystal system: tetragonal


Entry 11:
Dy3Tm2Al2 | PBE-GGA | relaxed

a = 16.190 Å, b = 16.190 Å, c = 3.431 Å
α = 90.00°, β = 90.00°, γ = 167.85°
Sites, in units of the cell vectors:
Dy  0.000  0.000  0.000
Dy  0.124  0.876  0.000
Dy  0.876  0.124  0.000
Tm  0.296  0.704  0.500
Tm  0.704  0.296  0.500
Al  0.438  0.562  0.500
Al  0.562  0.438  0.500

* total energy: -31.3 eV/cell
* energy above the most stable polymorph in this dataset: 52 meV per atom
* SG: Cmmm (65)
* DOS at the Fermi energy: 6.74 states/eV/cell
* crystal system: orthorhombic


Entry 12:
Sc2TlMo | PBE-GGA | relaxed

a = 10.606 Å, b = 10.606 Å, c = 10.606 Å
α = 16.86°, β = 16.86°, γ = 16.86°
Sites, in units of the cell vectors:
Sc  0.083  0.083  0.083
Sc  0.917  0.917  0.917
Tl  0.500  0.500  0.500
Mo  0.000  0.000  0.000

* total energy: -24.0 eV/cell
* energy above the most stable polymorph in this dataset: 530 meV per atom
* SG: R-3m (166)
* DOS at the Fermi energy: 3.51 states/eV/cell
* crystal system: trigonal


Entry 13:
Tb2SmErMg | PBE-GGA | relaxed

a = 6.135 Å, b = 5.592 Å, c = 9.382 Å
α = 90.00°, β = 108.74°, γ = 90.00°
Sites, in units of the cell vectors:
Tb  0.050  0.250  0.299
Tb  0.124  0.750  0.105
Tb  0.876  0.250  0.895
Tb  0.950  0.750  0.701
Sm  0.464  0.250  0.110
Sm  0.536  0.750  0.890
Er  0.337  0.750  0.502
Er  0.663  0.250  0.498
Mg  0.272  0.250  0.694
Mg  0.728  0.750  0.306

* total energy: -40.1 eV/cell
* SG: P2_1/m (11)
* DOS at the Fermi energy: 13.94 states/eV/cell
* crystal system: monoclinic


Entry 14:
Ba2CdTe | PBE-GGA | relaxed

a = 6.015 Å, b = 6.015 Å, c = 6.015 Å
α = 60.00°, β = 60.00°, γ = 60.00°
Sites, in units of the cell vectors:
Ba  0.250  0.250  0.250
Ba  0.750  0.750  0.750
Cd  0.000  0.000  0.000
Te  0.500  0.500  0.500

* total energy: -11.0 eV/cell
* energy above the most stable polymorph in this dataset: 145 meV per atom
* SG: Fm-3m (225)
* DOS at the Fermi energy: 5.11 states/eV/cell
* crystal system: cubic


Entry 15:
SiCl4 | PBE-GGA | relaxed

a = 10.536 Å, b = 6.898 Å, c = 10.581 Å
α = 90.00°, β = 103.51°, γ = 90.00°
Sites, in units of the cell vectors:
Si  0.249  0.069  0.350
Si  0.249  0.431  0.850
Si  0.751  0.569  0.150
Si  0.751  0.931  0.650
Cl  0.086  0.071  0.202
Cl  0.086  0.429  0.702
Cl  0.209  0.570  0.006
Cl  0.209  0.930  0.506
Cl  0.305  0.153  0.901
Cl  0.305  0.347  0.401
Cl  0.395  0.571  0.793
Cl  0.395  0.929  0.293
Cl  0.605  0.071  0.707
Cl  0.605  0.429  0.207
Cl  0.695  0.653  0.599
Cl  0.695  0.847  0.099
Cl  0.791  0.070  0.494
Cl  0.791  0.430  0.994
Cl  0.914  0.571  0.298
Cl  0.914  0.929  0.798

* total energy: -76.2 eV/cell
* energy above the most stable polymorph in this dataset: 0 meV per atom
* SG: P2_1/c (14)
* DOS at the Fermi energy: 0.00 states/eV/cell
* crystal system: monoclinic


Entry 16:
Na2PIrOs | PBE-GGA | relaxed

a = 5.424 Å, b = 5.424 Å, c = 4.621 Å
α = 90.00°, β = 90.00°, γ = 90.00°
Sites, in units of the cell vectors:
Na  0.000  0.500  0.000
Na  0.500  0.000  0.000
P  0.000  0.000  0.500
Ir  0.500  0.500  0.500
Os  0.500  0.500  0.000

* total energy: -20.4 eV/cell
* SG: P4/mmm (123)
* DOS at the Fermi energy: 4.97 states/eV/cell
* crystal system: tetragonal


Entry 17:
CsNaCeSe3 | PBE-GGA | relaxed

a = 9.546 Å, b = 4.473 Å, c = 10.417 Å
α = 90.00°, β = 108.37°, γ = 90.00°
Sites, in units of the cell vectors:
Cs  0.232  0.250  0.262
Cs  0.768  0.750  0.738
Na  0.072  0.250  0.603
Na  0.928  0.750  0.397
Ce  0.322  0.750  0.854
Ce  0.678  0.250  0.146
Se  0.140  0.250  0.884
Se  0.235  0.750  0.569
Se  0.477  0.750  0.143
Se  0.523  0.250  0.857
Se  0.765  0.250  0.431
Se  0.860  0.750  0.116

* total energy: -54.0 eV/cell
* SG: P2_1/m (11)
* crystal system: monoclinic


Entry 18:
Rb2Na2Li | PBE-GGA | relaxed

a = 12.609 Å, b = 12.609 Å, c = 12.609 Å
α = 158.05°, β = 158.05°, γ = 31.23°
Sites, in units of the cell vectors:
Rb  0.098  0.098  0.000
Rb  0.902  0.902  0.000
Na  0.250  0.750  0.500
Na  0.750  0.250  0.500
Li  0.500  0.500  0.000

* total energy: -5.8 eV/cell
* energy above the most stable polymorph in this dataset: 38 meV per atom
* SG: I4/mmm (139)
* DOS at the Fermi energy: 4.30 states/eV/cell
* crystal system: tetragonal


Entry 19:
GdYLuGa | PBE-GGA | relaxed

a = 5.303 Å, b = 5.303 Å, c = 5.303 Å
α = 60.00°, β = 60.00°, γ = 60.00°
Sites, in units of the cell vectors:
Gd  0.000  0.000  0.000
Y  0.500  0.500  0.500
Lu  0.750  0.750  0.750
Ga  0.250  0.250  0.250

* total energy: -28.6 eV/cell
* SG: F-43m (216)
* DOS at the Fermi energy: 5.52 states/eV/cell
* crystal system: cubic


Entry 20:
Ru2CO | PBE-GGA | relaxed

a = 3.821 Å, b = 3.821 Å, c = 3.821 Å
α = 60.00°, β = 60.00°, γ = 60.00°
Sites, in units of the cell vectors:
Ru  0.250  0.250  0.250
Ru  0.750  0.750  0.750
C  0.000  0.000  0.000
O  0.500  0.500  0.500

* total energy: -29.7 eV/cell
* energy above the most stable polymorph in this dataset: 594 meV per atom
* SG: Fm-3m (225)
* DOS at the Fermi energy: 4.15 states/eV/cell
* crystal system: cubic